1.
Ca6Hg5Pt: optimized geometry, GGA-PBE.

Theoretical density   7.6 g cm⁻³
DOS(E_F)   7.495 states/eV/f.u.
Energy of formation   -595 meV per atom

Cell: 5.3088 7.4121 8.3947 Å, 90.00 108.32 90.00°
Fractional coordinates of all 12 atoms:
Ca 0.0000 0.2345 0.0000
Ca 0.0000 0.7655 0.0000
Ca 0.3417 0.2425 0.6823
Ca 0.3417 0.7575 0.6823
Ca 0.6583 0.2425 0.3177
Ca 0.6583 0.7575 0.3177
Hg 0.1674 0.5000 0.3369
Hg 0.1726 0.0000 0.3456
Hg 0.5000 0.5000 0.0000
Hg 0.8274 0.0000 0.6544
Hg 0.8326 0.5000 0.6631
Pt 0.5000 0.0000 0.0000

2.
RbZnTeN2: optimized geometry, GGA-PBE.

Theoretical density   4.2 g cm⁻³
DOS(E_F)   1.570 states/eV/f.u.
Energy relative to the elements, uncorrected   1.2963 eV per atom
Distance to the lowest polymorph of the same formula   0.1543 eV/atom

Cell: 4.7165 4.7165 5.4209 Å, 90.00 90.00 90.00°
Fractional coordinates of all 5 atoms:
Rb 0.0000 0.0000 0.0000
Zn 0.5000 0.5000 0.5000
Te 0.5000 0.5000 0.0000
N 0.0000 0.5000 0.5000
N 0.5000 0.0000 0.5000

3.
Li2PuCl2O2: optimized geometry, GGA-PBE.

Theoretical density   4.6 g cm⁻³
DOS(E_F)   3.631 states/eV/f.u.
Energy relative to the elements, uncorrected   -2.1421 eV per atom

Cell: 12.5764 3.8484 6.0973 Å, 90.00 118.62 90.00°
Fractional coordinates of all 14 atoms:
Li 0.2422 0.0000 0.1605
Li 0.2578 0.5000 0.8395
Li 0.7422 0.5000 0.1605
Li 0.7578 0.0000 0.8395
Pu 0.0000 0.5000 0.0000
Pu 0.5000 0.0000 0.0000
Cl 0.1040 0.0000 0.3742
Cl 0.3960 0.5000 0.6258
Cl 0.6040 0.5000 0.3742
Cl 0.8960 0.0000 0.6258
O 0.1574 0.5000 0.0055
O 0.3426 0.0000 0.9945
O 0.6574 0.0000 0.0055
O 0.8426 0.5000 0.9945

4.
Ba6NiAu2I3: optimized geometry, GGA-PBE.

Theoretical density   5.5 g cm⁻³
DOS(E_F)   7.621 states/eV/f.u.
Energy relative to the elements, uncorrected   -0.9275 eV per atom

Cell: 8.1217 8.1217 9.2353 Å, 98.44 98.44 119.99°
Fractional coordinates of all 12 atoms:
Ba 0.0682 0.3862 0.2047
Ba 0.2494 0.2494 0.7942
Ba 0.3862 0.0682 0.2047
Ba 0.6138 0.9318 0.7953
Ba 0.7506 0.7506 0.2058
Ba 0.9318 0.6138 0.7953
Ni 0.0000 0.0000 0.0000
Au 0.3336 0.6664 0.0000
Au 0.6664 0.3336 0.0000
I 0.1685 0.8315 0.5000
I 0.5000 0.5000 0.5000
I 0.8315 0.1685 0.5000

5.
TaInNi2: optimized geometry, GGA-PBE.

Theoretical density   11.3 g cm⁻³
DOS(E_F)   1.748 states/eV/f.u.
Energy of formation   -80 meV per atom

Cell: 4.2004 3.0286 9.5497 Å, 90.00 90.00 90.00°
Fractional coordinates of all 8 atoms:
Ta 0.0000 0.0000 0.0000
Ta 0.0000 0.5000 0.5000
In 0.5000 0.0000 0.6991
In 0.5000 0.5000 0.1991
Ni 0.0000 0.0000 0.2791
Ni 0.0000 0.5000 0.7791
Ni 0.5000 0.0000 0.4296
Ni 0.5000 0.5000 0.9296

6.
Ac7Mg2Tl2: optimized geometry, GGA-PBE.

Theoretical density   7.5 g cm⁻³
DOS(E_F)   14.012 states/eV/f.u.
Energy of formation   117 meV per atom

Cell: 7.3759 7.3759 9.1188 Å, 90.00 90.00 114.30°
Fractional coordinates of all 11 atoms:
Ac 0.0000 0.0000 0.0000
Ac 0.0000 0.5000 0.2976
Ac 0.0000 0.5000 0.7024
Ac 0.5000 0.0000 0.2976
Ac 0.5000 0.0000 0.7024
Ac 0.5000 0.5000 0.2369
Ac 0.5000 0.5000 0.7631
Mg 0.2831 0.7169 0.0000
Mg 0.7169 0.2831 0.0000
Tl 0.1915 0.1915 0.5000
Tl 0.8085 0.8085 0.5000

7.
La2Tl3Pb2: optimized geometry, GGA-PBE.

Theoretical density   9.5 g cm⁻³
DOS(E_F)   4.543 states/eV/f.u.
Energy of formation   -183 meV per atom

Cell: 8.4073 8.4073 8.4073 Å, 109.47 109.47 109.47°
Fractional coordinates of all 14 atoms:
La 0.0000 0.4881 0.5000
La 0.0119 0.0119 0.0119
La 0.4881 0.5000 0.0000
La 0.5000 0.0000 0.4881
Tl 0.2459 0.7500 0.9959
Tl 0.2500 0.5041 0.2541
Tl 0.2541 0.2500 0.5041
Tl 0.5041 0.2541 0.2500
Tl 0.7500 0.9959 0.2459
Tl 0.9959 0.2459 0.7500
Pb 0.0000 0.8672 0.5000
Pb 0.5000 0.0000 0.8672
Pb 0.6328 0.6328 0.6328
Pb 0.8672 0.5000 0.0000

8.
Ac8TlGe5: optimized geometry, GGA-PBE.

Theoretical density   8.3 g cm⁻³
DOS(E_F)   9.715 states/eV/f.u.
Energy of formation   -620 meV per atom

Cell: 8.5267 8.5267 8.5267 Å, 109.46 109.46 109.49°
Fractional coordinates of all 14 atoms:
Ac 0.2365 0.4943 0.6079
Ac 0.3714 0.7635 0.2578
Ac 0.3748 0.2528 0.2550
Ac 0.5057 0.1136 0.7422
Ac 0.7472 0.0021 0.1220
Ac 0.8802 0.6252 0.8780
Ac 0.8864 0.6286 0.3921
Ac 0.9979 0.1198 0.7450
Tl 0.5000 0.5000 0.0000
Ge 0.0007 0.3763 0.1236
Ge 0.1229 0.9993 0.3756
Ge 0.2528 0.8771 0.8764
Ge 0.6237 0.7472 0.6244
Ge 0.7500 0.2500 0.5000